Entry from Alexandria: an optimized crystal structure of BaZnPt2 (GGA-PBE).

Cell and atoms, written as CIF:
```
data_BaZnPt2
_symmetry_space_group_name_H-M 'I m m m'
_symmetry_Int_Tables_number 71
_symmetry_space_group_name_Hall '-I 2 2'
_cell_length_a 4.313
_cell_length_b 5.979
_cell_length_c 7.560
_cell_angle_alpha 90.00
_cell_angle_beta 90.00
_cell_angle_gamma 90.00
loop_
_atom_site_label
_atom_site_fract_x
_atom_site_fract_y
_atom_site_fract_z
Ba1 0.000 0.000 0.000
Zn1 0.000 0.000 0.500
Pt1 0.000 0.500 0.181
```

Properties
Formation energy = -0.277 eV/atom
Total magnetization = 0.00 μB per formula unit
Calculated density = 10.10 g/cm3
Energy = -4.096 eV/atom